Record 1
This record from Alexandria via LeMat-Bulk describes crystalline CaVRe at its relaxed geometry. The functional is PBE.

Properties
volume	131.7	Å³/cell
offset from the most stable computed form	158	meV/atom
formation enthalpy at 0 K	0.3172	eV per atom

Cell lengths 4.7109, 4.4185, 6.3471 Å; angles 90.00, 94.56, 90.00 degrees
Element x y z (fractional)
V1 0.8333 0.2500 0.5189
Ca1 0.7409 0.7500 0.8702
Re1 0.6648 0.7500 0.3806
V2 0.1667 0.7500 0.4811
Ca2 0.2591 0.2500 0.1298
Re2 0.3352 0.2500 0.6194



Record 2
This record from Alexandria via LeMat-Bulk describes crystalline CaV2Re at its relaxed geometry. The functional is PBE.

Properties
volume	66.1	Å³/cell
offset from the most stable computed form	0	meV/atom
formation enthalpy at 0 K	0.5723	eV per atom

Cell lengths 4.5377, 4.5377, 4.5377 Å; angles 60.00, 60.00, 60.00 degrees
Last column: magnetic moment on the atom in μB.
Element x y z (fractional)
V1 0.7500 0.7500 0.7500  0.87
V2 0.2500 0.2500 0.2500  0.87
Ca1 0.0000 0.0000 0.0000  0.08
Re1 0.5000 0.5000 0.5000  -0.37



Record 3
This record from Alexandria via LeMat-Bulk describes crystalline CaV3Re at its relaxed geometry. The functional is PBE.

Properties
volume	78.0	Å³/cell
offset from the most stable computed form	1435	meV/atom
formation enthalpy at 0 K	2.3064	eV per atom

Cell lengths 4.2734, 4.2734, 4.2734 Å; angles 90.00, 90.00, 90.00 degrees
Element x y z (fractional)
V1 0.0000 0.5000 0.0000
V2 0.5000 0.0000 0.0000
Ca1 0.0000 0.0000 0.0000
Re1 0.5000 0.5000 0.5000
V3 0.0000 0.0000 0.5000



Record 4
This record from Alexandria via LeMat-Bulk describes crystalline CaV2Re2 at its relaxed geometry. The functional is PBE.

Properties
volume	168.3	Å³/cell
offset from the most stable computed form	0	meV/atom
formation enthalpy at 0 K	0.2479	eV per atom

Cell lengths 7.8491, 7.8491, 2.7312 Å; angles 90.00, 90.00, 90.00 degrees
Element x y z (fractional)
V1 0.6436 0.1436 0.0000
Re1 0.1481 0.6481 0.5000
Re2 0.6481 0.8519 0.5000
Ca1 0.0000 0.0000 0.0000
V2 0.3564 0.8564 0.0000
V3 0.8564 0.6436 0.0000
V4 0.1436 0.3564 0.0000
Ca2 0.5000 0.5000 0.0000
Re3 0.3519 0.1481 0.5000
Re4 0.8519 0.3519 0.5000



Record 5
This record from Alexandria via LeMat-Bulk describes crystalline CaVRe at its relaxed geometry. The functional is PBE.

Properties
volume	119.9	Å³/cell
offset from the most stable computed form	0	meV/atom
formation enthalpy at 0 K	0.1596	eV per atom

Cell lengths 3.1894, 3.1894, 11.7832 Å; angles 90.00, 90.00, 90.00 degrees
Element x y z (fractional)
V1 0.5000 0.0000 0.4302
Re1 0.0000 0.5000 0.3305
Re2 0.5000 0.0000 0.6695
Ca1 0.5000 0.0000 0.1472
V2 0.0000 0.5000 0.5698
Ca2 0.0000 0.5000 0.8528



Record 6
This record from Alexandria via LeMat-Bulk describes crystalline Ca2VRe at its relaxed geometry. The functional is PBE.

Properties
volume	182.9	Å³/cell
offset from the most stable computed form	209	meV/atom
formation enthalpy at 0 K	1.2686	eV per atom

Cell lengths 8.1454, 8.1454, 6.3852 Å; angles 50.37, 50.37, 90.00 degrees
Last column: magnetic moment on the atom in μB.
Element x y z (fractional)
Re1 0.7500 0.2500 0.5000  -0.95
Ca1 0.6327 0.1250 0.2500  0.04
Re2 0.0000 0.0000 0.0000  -0.95
Ca2 0.8750 0.8827 0.7500  0.04
Ca3 0.3750 0.3673 0.7500  0.04
Ca4 0.1173 0.6250 0.2500  0.04
V1 0.2500 0.7500 0.5000  2.26
V2 0.5000 0.5000 0.0000  2.26



Record 7
This record from Alexandria via LeMat-Bulk describes crystalline CaZrVRe2 at its relaxed geometry. The functional is PBE.

Properties
volume	105.0	Å³/cell
formation enthalpy at 0 K	0.9233	eV per atom

Cell lengths 4.6505, 4.8568, 4.6505 Å; angles 90.00, 90.00, 90.00 degrees
Element x y z (fractional)
Zr1 0.0000 0.5000 0.0000
Ca1 0.5000 0.5000 0.5000
Re1 0.5000 0.0000 0.0000
V1 0.0000 0.0000 0.0000
Re2 0.0000 0.0000 0.5000



Record 8
This record from Alexandria via LeMat-Bulk describes crystalline CaRe2W at its relaxed geometry. The functional is PBE.

Properties
volume	69.4	Å³/cell
offset from the most stable computed form	189	meV/atom
formation enthalpy at 0 K	0.6565	eV per atom

Cell lengths 5.4248, 5.4248, 5.4248 Å; angles 146.52, 127.12, 64.06 degrees
Element x y z (fractional)
Re1 0.9797 0.9797 0.0000
Re2 0.5203 0.5203 0.0000
W1 0.7500 0.2500 0.5000
Ca1 0.2500 0.7500 0.5000



| no. | raw total energy (eV/atom) |
| --- | --- |
| 1 | -7.54 |
| 2 | -7.60 |
| 3 | -6.05 |
| 4 | -8.78 |
| 5 | -7.70 |
| 6 | -5.12 |
| 7 | -7.99 |
| 8 | -9.31 |